Entry 1:
Material: Sn2Pb2F7
Method: DFT, PBE
State: optimized geometry

Unit cell a=5.638 b=5.638 c=6.977 alpha=92.42 beta=92.42 gamma=78.55
Positions (direct):
Sn: 0.237 0.237 0.437
Sn: 0.763 0.763 0.563
Pb: 0.237 0.763 0.000
Pb: 0.763 0.237 0.000
F: 0.002 0.002 0.289
F: 0.060 0.464 0.204
F: 0.464 0.060 0.204
F: 0.500 0.500 0.500
F: 0.536 0.940 0.796
F: 0.940 0.536 0.796
F: 0.998 0.998 0.711


Entry 2:
Material: SnPb2F8
Method: DFT, PBE
State: optimized geometry

Unit cell a=6.582 b=6.582 c=4.877 alpha=104.79 beta=104.79 gamma=72.85
Positions (direct):
Sn: 0.000 0.000 0.000
Pb: 0.345 0.345 0.661
Pb: 0.655 0.655 0.339
F: 0.062 0.700 0.749
F: 0.122 0.122 0.765
F: 0.300 0.938 0.251
F: 0.417 0.417 0.185
F: 0.583 0.583 0.815
F: 0.700 0.062 0.749
F: 0.878 0.878 0.235
F: 0.938 0.300 0.251


Entry 3:
Material: SnPbF2
Method: DFT, PBE
State: optimized geometry

**Excess energy over the best structure of this formula in the dataset**: 0 meV/atom

Unit cell a=8.723 b=8.723 c=8.723 alpha=22.11 beta=22.11 gamma=22.11
Positions (direct):
Sn: 0.000 0.000 0.000
Pb: 0.500 0.500 0.500
F: 0.089 0.089 0.089
F: 0.911 0.911 0.911


Entry 4:
Material: SnPbF2
Method: DFT, PBE
State: optimized geometry

**Excess energy over the best structure of this formula in the dataset**: 361 meV/atom

Unit cell a=4.749 b=4.749 c=4.749 alpha=60.00 beta=60.00 gamma=60.00
Positions (direct):
Sn: 0.000 0.000 0.000
Pb: 0.500 0.500 0.500
F: 0.250 0.250 0.250
F: 0.750 0.750 0.750


Entry 5:
Material: TcSnPb2F
Method: DFT, PBE
State: optimized geometry

Unit cell a=5.872 b=5.872 c=5.214 alpha=90.00 beta=90.00 gamma=90.00
Positions (direct):
Tc: 0.000 0.000 0.000
Sn: 0.000 0.000 0.500
Pb: 0.000 0.500 0.500
Pb: 0.500 0.000 0.500
F: 0.500 0.500 0.000


Uncorrected formation energy, record by record: -22.938 -27.165 -6.078 -4.636 3.871 eV per formula unit